Record 1
# B5C7, relaxed, DFT PBE
data_B5C7
_space_group_name_H-M_alt 'P 1'
_space_group_IT_number 1
_cell_length_a 7.051
_cell_length_b 7.051
_cell_length_c 4.658
_cell_angle_alpha 107.00
_cell_angle_beta 107.00
_cell_angle_gamma 21.25
loop_
_space_group_symop_operation_xyz
'x,y,z'
loop_
_atom_site_label
_atom_site_fract_x
_atom_site_fract_y
_atom_site_fract_z
B1 0.000 0.000 0.000
B2 0.165 0.165 0.211
B3 0.530 0.530 0.588
B4 0.806 0.806 0.484
B5 0.966 0.966 0.328
C1 0.190 0.190 0.887
C2 0.309 0.309 0.994
C3 0.352 0.352 0.722
C4 0.466 0.466 0.828
C5 0.651 0.651 0.696
C6 0.681 0.681 0.401
C7 0.848 0.848 0.186
# E_tot = -7.788 eV per atom
# E_form = 0.375 eV per atom
# Size of the total moment = 0.0 μB per formula unit
# SG = Cm (8)
# Offset from the most stable computed form = 117 meV per atom

Record 2
# SrMoPd, relaxed, DFT PBE
data_SrMoPd
_space_group_name_H-M_alt 'P 1'
_space_group_IT_number 1
_cell_length_a 4.847
_cell_length_b 4.847
_cell_length_c 4.847
_cell_angle_alpha 60.00
_cell_angle_beta 60.00
_cell_angle_gamma 60.00
loop_
_space_group_symop_operation_xyz
'x,y,z'
loop_
_atom_site_label
_atom_site_fract_x
_atom_site_fract_y
_atom_site_fract_z
Sr1 0.000 0.000 0.000
Mo1 0.500 0.500 0.500
Pd1 0.250 0.250 0.250
# E_tot = -5.102 eV per atom
# E_form = 0.800 eV per atom
# Size of the total moment = 4.0 μB per formula unit
# SG = F-43m (216)
# Offset from the most stable computed form = 735 meV per atom

Record 3
# K2Hg2Sb, relaxed, DFT PBE
data_K2Hg2Sb
_space_group_name_H-M_alt 'P 1'
_space_group_IT_number 1
_cell_length_a 6.855
_cell_length_b 6.855
_cell_length_c 13.494
_cell_angle_alpha 113.87
_cell_angle_beta 113.87
_cell_angle_gamma 41.71
loop_
_space_group_symop_operation_xyz
'x,y,z'
loop_
_atom_site_label
_atom_site_fract_x
_atom_site_fract_y
_atom_site_fract_z
K1 0.102 0.102 0.394
K2 0.303 0.303 0.876
K3 0.697 0.697 0.124
K4 0.898 0.898 0.606
Hg1 0.031 0.031 0.909
Hg2 0.378 0.378 0.389
Hg3 0.622 0.622 0.611
Hg4 0.969 0.969 0.091
Sb1 0.439 0.439 0.190
Sb2 0.561 0.561 0.810
# E_tot = -1.717 eV per atom
# Formation energy without anion corrections = -0.3330 eV/atom
# Size of the total moment = 0.0 μB per formula unit
# SG = C2/m (12)
# Offset from the most stable computed form = 0 meV per atom

Record 4
# La8Pr4Y, relaxed, DFT PBE
data_La8Pr4Y
_space_group_name_H-M_alt 'P 1'
_space_group_IT_number 1
_cell_length_a 7.986
_cell_length_b 7.986
_cell_length_c 7.986
_cell_angle_alpha 96.92
_cell_angle_beta 96.92
_cell_angle_gamma 96.92
loop_
_space_group_symop_operation_xyz
'x,y,z'
loop_
_atom_site_label
_atom_site_fract_x
_atom_site_fract_y
_atom_site_fract_z
La1 0.169 0.169 0.672
La2 0.169 0.672 0.169
La3 0.237 0.237 0.237
La4 0.328 0.831 0.831
La5 0.672 0.169 0.169
La6 0.763 0.763 0.763
La7 0.831 0.328 0.831
La8 0.831 0.831 0.328
Pr1 0.000 0.000 0.000
Pr2 0.000 0.500 0.500
Pr3 0.500 0.000 0.500
Pr4 0.500 0.500 0.000
Y1 0.500 0.500 0.500
# E_tot = -4.657 eV per atom
# E_form = 0.344 eV per atom
# Size of the total moment = 0.0 μB per formula unit
# SG = R-3m (166)

Record 5
# VCr3Rh4, relaxed, DFT PBE
data_VCr3Rh4
_space_group_name_H-M_alt 'P 1'
_space_group_IT_number 1
_cell_length_a 7.842
_cell_length_b 7.842
_cell_length_c 7.842
_cell_angle_alpha 152.06
_cell_angle_beta 152.06
_cell_angle_gamma 39.92
loop_
_space_group_symop_operation_xyz
'x,y,z'
loop_
_atom_site_label
_atom_site_fract_x
_atom_site_fract_y
_atom_site_fract_z
V1 0.000 0.000 0.000
Cr1 0.250 0.250 0.000
Cr2 0.500 0.500 0.000
Cr3 0.750 0.750 0.000
Rh1 0.128 0.628 0.500
Rh2 0.372 0.872 0.500
Rh3 0.628 0.128 0.500
Rh4 0.872 0.372 0.500
# E_tot = -8.564 eV per atom
# E_form = -0.140 eV per atom
# Size of the total moment = 1.0 μB per formula unit
# SG = I4/mmm (139)

Record 6
# YReSn2W, relaxed, DFT PBE
data_YReSn2W
_space_group_name_H-M_alt 'P 1'
_space_group_IT_number 1
_cell_length_a 5.193
_cell_length_b 5.193
_cell_length_c 5.307
_cell_angle_alpha 90.00
_cell_angle_beta 90.00
_cell_angle_gamma 90.00
loop_
_space_group_symop_operation_xyz
'x,y,z'
loop_
_atom_site_label
_atom_site_fract_x
_atom_site_fract_y
_atom_site_fract_z
Y1 0.000 0.000 0.000
Re1 0.500 0.500 0.000
Sn1 0.000 0.500 0.500
Sn2 0.500 0.000 0.500
W1 0.000 0.000 0.500
# E_tot = -6.549 eV per atom
# E_form = 1.425 eV per atom
# Size of the total moment = 4.0 μB per formula unit
# SG = P4/mmm (123)

Record 7
# VFe2Ge, relaxed, DFT PBE
data_VFe2Ge
_space_group_name_H-M_alt 'P 1'
_space_group_IT_number 1
_cell_length_a 3.915
_cell_length_b 3.915
_cell_length_c 3.064
_cell_angle_alpha 90.00
_cell_angle_beta 90.00
_cell_angle_gamma 90.00
loop_
_space_group_symop_operation_xyz
'x,y,z'
loop_
_atom_site_label
_atom_site_fract_x
_atom_site_fract_y
_atom_site_fract_z
V1 0.000 0.000 0.000
Fe1 0.000 0.500 0.500
Fe2 0.500 0.000 0.500
Ge1 0.500 0.500 0.000
# E_tot = -7.826 eV per atom
# E_form = -0.160 eV per atom
# Size of the total moment = 0.0 μB per formula unit
# SG = P4/mmm (123)

Record 8
# La3CeRh, relaxed, DFT PBE
data_La3CeRh
_space_group_name_H-M_alt 'P 1'
_space_group_IT_number 1
_cell_length_a 5.662
_cell_length_b 5.662
_cell_length_c 5.662
_cell_angle_alpha 90.00
_cell_angle_beta 90.00
_cell_angle_gamma 90.00
loop_
_space_group_symop_operation_xyz
'x,y,z'
loop_
_atom_site_label
_atom_site_fract_x
_atom_site_fract_y
_atom_site_fract_z
La1 0.000 0.000 0.500
La2 0.000 0.500 0.000
La3 0.500 0.000 0.000
Ce1 0.500 0.500 0.500
Rh1 0.000 0.000 0.000
# E_tot = -5.731 eV per atom
# E_form = -0.118 eV per atom
# Size of the total moment = 3.3 μB per formula unit
# SG = Pm-3m (221)

In the order shown, the computed N(E_F) values come out to 1.66; 1.46; 3.40; 27.66; 7.09; 3.42; 3.86; 11.75 states/eV/cell.